The following is a DFT calculation (PBE) of a relaxed structure of TaBiO4.

Structure (extended XYZ):
```
12
Lattice="3.0576 -6.3927 0.0000 3.0576 6.3927 0.0000 -2.2156 0.0000 5.0439" Properties=species:S:1:pos:R:3 pbc="T T T"
Ta 1.3959 5.5608 3.7829
Ta 2.5037 -5.5608 1.2610
Bi 1.3959 2.2101 3.7829
Bi 2.5037 -2.2101 1.2610
O 0.7870 2.2461 1.4411
O -0.2841 0.5845 3.2614
O 0.8237 -0.5845 0.7394
O -0.3209 -2.2461 3.9631
O 4.2204 2.2461 1.0809
O 3.0759 0.5845 4.3045
O 4.1837 -0.5845 1.7825
O 3.1126 -2.2461 3.6028
```

Summary:
energy relative to the elements, uncorrected	-2146	meV per atom
crystal system	monoclinic
theoretical density	7.645	Mg/m³
M_tot	0.00	μB/cell

---

The following is a DFT calculation (PBE) of a relaxed structure of Ta6Bi4O19.

Structure (extended XYZ):
```
29
Lattice="-4.7437 4.7437 4.7437 4.7437 -4.7437 4.7437 4.7437 4.7437 -4.7437" Properties=species:S:1:pos:R:3 pbc="T T T"
Ta 4.7437 0.0000 1.5458
Ta 4.7437 3.1978 0.0000
Ta 1.5458 4.7437 0.0000
Ta 3.1978 0.0000 4.7437
Ta 0.0000 1.5458 4.7437
Ta 0.0000 4.7437 3.1978
Bi 3.3568 3.3568 -3.3568
Bi 3.3568 -3.3568 3.3568
Bi 1.3868 1.3868 1.3868
Bi -3.3568 3.3568 3.3568
O 0.0000 0.0000 0.0000
O 3.4075 0.0000 0.0000
O 6.0798 0.0000 0.0000
O 4.6505 2.0106 -1.5776
O 6.3213 -0.0931 2.7330
O 3.1660 0.0931 2.7330
O 2.0106 -1.5776 4.6505
O 2.7330 3.1660 0.0931
O 0.0000 3.4075 0.0000
O 0.0000 0.0000 3.4075
O 4.8368 2.0106 1.5776
O 0.0931 2.7330 3.1660
O 0.0000 6.0798 0.0000
O 0.0000 0.0000 6.0798
O 2.7330 6.3213 -0.0931
O 2.0106 1.5776 4.8368
O -1.5776 4.6505 2.0106
O 1.5776 4.8368 2.0106
O -0.0931 2.7330 6.3213
```

Summary:
energy relative to the elements, uncorrected	-2148	meV per atom
crystal system	cubic
theoretical density	8.656	Mg/m³
M_tot	0.00	μB/cell

---

The following is a DFT calculation (PBE) of a relaxed structure of TaTi2BiO8.

Structure (extended XYZ):
```
12
Lattice="3.6969 -3.2446 0.0000 3.6969 3.2446 0.0000 -0.7825 0.0000 6.6745" Properties=species:S:1:pos:R:3 pbc="T T T"
Ta 0.0000 0.0000 0.0000
Ti 3.0575 0.0000 1.7830
Ti 3.5537 0.0000 4.8915
Bi -0.3913 0.0000 3.3372
O 3.5162 1.8591 1.4551
O 3.0951 1.8591 5.2194
O 1.9515 0.0000 0.3235
O 2.0203 0.0000 3.2693
O 4.5909 0.0000 3.4052
O 4.6598 0.0000 6.3510
O 3.5162 -1.8591 1.4551
O 3.0951 -1.8591 5.2194
```

Summary:
energy relative to the elements, uncorrected	-2548	meV per atom
crystal system	monoclinic
theoretical density	6.364	Mg/m³
M_tot	0.00	μB/cell

---

The following is a DFT calculation (PBE) of a relaxed structure of TmTaBi2O8.

Structure (extended XYZ):
```
12
Lattice="3.5674 -3.5850 0.0000 3.5674 3.5850 0.0000 0.0000 0.0000 6.8221" Properties=species:S:1:pos:R:3 pbc="T T T"
Tm 0.0000 0.0000 0.0000
Ta 0.0000 0.0000 3.4111
Bi 3.5674 0.0000 1.7295
Bi 3.5674 0.0000 5.0926
O 1.2958 0.0000 1.8740
O 1.2958 0.0000 4.9481
O 3.5674 1.5516 3.4111
O 3.5674 1.3727 0.0000
O 3.5674 -1.3727 0.0000
O 3.5674 -1.5516 3.4111
O 5.8391 0.0000 1.8740
O 5.8391 0.0000 4.9481
```

Summary:
energy relative to the elements, uncorrected	-2076	meV per atom
crystal system	orthorhombic
theoretical density	8.525	Mg/m³
M_tot	0.00	μB/cell

---

- What is the formula in the fourth record?
  TmTaBi2O8

---

- Look up the M_tot of the second one.
  0.00 μB/cell

---

- Which of these has the lowest theoretical density?
  TaTi2BiO8